# 1
Compound: NpInS2
Source: the Alexandria database
Functional: PBE-GGA
Structure: relaxed

For the formation energy from raw total energies, the calculation gives -930 meV per atom. The value obtained for the density of states at the Fermi level is 2.428 states/eV per atom. Its offset from the most stable computed form is 22.2 meV/atom.

The structure belongs to space group R3m (No. 160, hexagonal axes); the cell edges are 4.0205, 4.0205 and 22.6718 Å and the angles 90.00°, 90.00° and 120.00°. The inequivalent atoms are Np at (0.0000, 0.0000, 0.0000), In at (0.0000, 0.0000, 0.1724), S at (0.0000, 0.0000, 0.3969) and S at (0.0000, 0.0000, 0.6012).

---

# 2
Compound: NaOs2O5
Source: the Alexandria database
Functional: PBE-GGA
Structure: relaxed

For the formation energy from raw total energies, the calculation gives -1026 meV per atom. The value obtained for the density of states at the Fermi level is 0.470 states/eV per atom.

The structure belongs to space group Cmcm (No. 63); the cell edges are 3.9659, 10.2360 and 9.7848 Å and the angles 90.00°, 90.00° and 90.00°. The inequivalent atoms are Na at (0.0000, 0.0777, 0.2500), Os at (0.0000, 0.3582, 0.0619), O at (0.0000, 0.1807, 0.5345), O at (0.0000, 0.3122, 0.2500) and O at (0.0000, 0.4517, 0.6107).

---

# 3
Compound: RbCu3As2
Source: the Alexandria database
Functional: PBE-GGA
Structure: relaxed

The value obtained for the density of states at the Fermi level is 0.367 states/eV per atom. As for the formation energy: -0.47 eV/f.u. Its offset from the most stable computed form is 74.5 meV/atom.

The structure belongs to space group Immm (No. 71); the cell edges are 4.0768, 8.1976 and 16.2449 Å and the angles 90.00°, 90.00° and 90.00°. The inequivalent atoms are Rb at (0.0000, 0.0000, 0.1726), Cu at (0.0000, 0.1473, 0.3981), Cu at (0.0000, 0.3355, 0.0000), As at (0.0000, 0.3516, 0.5000) and As at (0.0000, 0.5000, 0.1431).

---

# 4
Compound: Sr2ScHg
Source: the Alexandria database
Functional: PBE-GGA
Structure: relaxed

The value obtained for the density of states at the Fermi level is 1.359 states/eV per atom. As for the formation energy: -0.38 eV/f.u. Its offset from the most stable computed form is 34.1 meV/atom.

The structure belongs to space group Cm (No. 8); the cell edges are 13.5334, 3.8978 and 5.8482 Å and the angles 90.00°, 115.56° and 90.00°. The inequivalent atoms are Sr at (0.0000, 0.0000, 0.0000), Sr at (0.2049, 0.0000, 0.7044), Sc at (0.4078, 0.0000, 0.4079) and Hg at (0.2323, 0.5000, 0.2311).